No. 1
The following is a PBE-GGA calculation of AcMgMo after structural relaxation, from OQMD.

It has space group F-43m (No. 216), with a = 7.081 Å, b = 7.081 Å, c = 7.081 Å, α = 90.00°, β = 90.00° and γ = 90.00°. The inequivalent atoms are Ac at (0.000, 0.000, 0.000), Mg at (0.250, 0.250, 0.250) and Mo at (0.000, 0.000, 0.500).

The excess energy over the best structure of this formula in the dataset comes out at 0.000 eV per atom. The total magnetic moment comes out at 9.06 μB/cell. The calculated density comes out at 6.50 Mg/m³.

=====

No. 2
The following is a PBE-GGA calculation of TbGdBr2O2 after structural relaxation, from OQMD.

It has space group P4mm (No. 99), with a = 3.857 Å, b = 3.857 Å, c = 8.426 Å, α = 90.00°, β = 90.00° and γ = 90.00°. The inequivalent atoms are Tb at (0.000, 0.000, 0.000), Gd at (0.500, 0.500, 0.274), Br at (0.000, 0.000, 0.470), Br at (0.500, 0.500, 0.805) and O at (0.000, 0.500, 0.136).

The value obtained for the total energy is -6.6775 eV per atom. The total magnetic moment comes out at 0.00 μB/cell. The calculated density comes out at 6.73 Mg/m³.

=====

No. 3
The following is a PBE-GGA calculation of YCdBi2 after structural relaxation, from OQMD.

It has space group F-43m (No. 216), with a = 7.753 Å, b = 7.753 Å, c = 7.753 Å, α = 90.00°, β = 90.00° and γ = 90.00°. The inequivalent atoms are Y at (0.000, 0.000, 0.000), Cd at (0.250, 0.250, 0.750), Bi at (0.000, 0.000, 0.500) and Bi at (0.250, 0.250, 0.250).

The value obtained for the total energy is -4.0248 eV per atom. The total magnetic moment comes out at 0.01 μB/cell. The calculated density comes out at 8.83 Mg/m³.

=====

No. 4
The following is a PBE-GGA calculation of Cu2Ag3 after structural relaxation, from OQMD.

It has space group Pmmn (No. 59, origin choice 2), with a = 2.884 Å, b = 3.540 Å, c = 15.254 Å, α = 90.00°, β = 90.00° and γ = 90.00°. The inequivalent atoms are Cu at (0.250, 0.250, 0.041), Cu at (0.250, 0.250, 0.878), Ag at (0.250, 0.250, 0.219), Ag at (0.250, 0.250, 0.444) and Ag at (0.250, 0.250, 0.668).

The excess energy over the best structure of this formula in the dataset comes out at 0.030 eV per atom. The calculated density comes out at 9.61 Mg/m³. As for the energy relative to the elements: 6.1 kJ/mol of atoms.